Entry 1:
# KMo2C PBE relaxed
# Formation energy from the elements, eV per atom: 1.250
data_KMo2C
_symmetry_space_group_name_H-M 'I 41/a m d'
_symmetry_Int_Tables_number 141
_cell_length_a 6.412
_cell_length_b 6.412
_cell_length_c 9.046
_cell_angle_alpha 90.00
_cell_angle_beta 90.00
_cell_angle_gamma 90.00
loop_
_symmetry_equiv_pos_as_xyz
'x,y,z'
'-x,-y,-z'
'-y+1/4,x+3/4,z+1/4'
'y+1/4,-x+3/4,-z+1/4'
'-x+1/2,-y,z+1/2'
'x+1/2,y,-z+1/2'
'y+1/4,-x+1/4,z+3/4'
'-y+1/4,x+1/4,-z+3/4'
'x,-y,-z'
'-x,y,z'
'-y+1/4,-x+1/4,-z+3/4'
'y+1/4,x+1/4,z+3/4'
'-x+1/2,y,-z+1/2'
'x+1/2,-y,z+1/2'
'y+1/4,x+3/4,-z+1/4'
'-y+1/4,-x+3/4,z+1/4'
'x+1/2,y+1/2,z+1/2'
'-x+1/2,-y+1/2,-z+1/2'
'-y+3/4,x+1/4,z+3/4'
'y+3/4,-x+1/4,-z+3/4'
'-x,-y+1/2,z'
'x,y+1/2,-z'
'y+3/4,-x+3/4,z+1/4'
'-y+3/4,x+3/4,-z+1/4'
'x+1/2,-y+1/2,-z+1/2'
'-x+1/2,y+1/2,z+1/2'
'-y+3/4,-x+3/4,-z+1/4'
'y+3/4,x+3/4,z+1/4'
'-x,y+1/2,-z'
'x,-y+1/2,z'
'y+3/4,x+1/4,-z+3/4'
'-y+3/4,-x+1/4,z+3/4'
loop_
_atom_site_label
_atom_site_fract_x
_atom_site_fract_y
_atom_site_fract_z
K1 0.000 0.250 0.375
Mo1 0.000 0.000 0.000
C1 0.000 0.250 0.875



Entry 2:
# CeAu6 PBE relaxed
# Offset from the most stable computed form, eV/atom: 0.030
# Formation energy from the elements, eV per atom: -0.342
data_CeAu6
_symmetry_space_group_name_H-M 'P n m a'
_symmetry_Int_Tables_number 62
_symmetry_space_group_name_Hall '-P 2ac 2n'
_cell_length_a 9.145
_cell_length_b 5.651
_cell_length_c 11.221
_cell_angle_alpha 90.00
_cell_angle_beta 90.00
_cell_angle_gamma 90.00
loop_
_atom_site_label
_atom_site_fract_x
_atom_site_fract_y
_atom_site_fract_z
Ce1 0.238 0.250 0.067
Au1 0.057 0.008 0.306
Au2 0.065 0.750 0.079
Au3 0.112 0.250 0.521
Au4 0.155 0.750 0.845
Au5 0.188 0.250 0.774



Entry 3:
# Tc2MoAs PBE relaxed
# Formation energy from the elements, eV per atom: 0.046
data_Tc2MoAs
_symmetry_space_group_name_H-M 'C 1 m 1'
_symmetry_Int_Tables_number 8
_symmetry_space_group_name_Hall 'C -2y'
_cell_length_a 9.171
_cell_length_b 3.001
_cell_length_c 4.567
_cell_angle_alpha 90.00
_cell_angle_beta 106.35
_cell_angle_gamma 90.00
loop_
_atom_site_label
_atom_site_fract_x
_atom_site_fract_y
_atom_site_fract_z
Tc1 0.000 0.000 0.000
Tc2 0.240 0.500 0.133
Mo1 0.233 0.000 0.629
As1 0.487 0.000 0.469



Entry 4:
# EuClO PBE relaxed
# Energy relative to the elements, uncorrected, eV per atom: -2.455
data_EuClO
_symmetry_space_group_name_H-M 'P 4/n m m'
_symmetry_Int_Tables_number 129
_cell_length_a 3.995
_cell_length_b 3.995
_cell_length_c 6.924
_cell_angle_alpha 90.00
_cell_angle_beta 90.00
_cell_angle_gamma 90.00
loop_
_symmetry_equiv_pos_as_xyz
'x,y,z'
'-x,-y,-z'
'-y+1/2,x,z'
'y+1/2,-x,-z'
'-x+1/2,-y+1/2,z'
'x+1/2,y+1/2,-z'
'y,-x+1/2,z'
'-y,x+1/2,-z'
'x+1/2,-y,-z'
'-x+1/2,y,z'
'-y,-x,-z'
'y,x,z'
'-x,y+1/2,-z'
'x,-y+1/2,z'
'y+1/2,x+1/2,-z'
'-y+1/2,-x+1/2,z'
loop_
_atom_site_label
_atom_site_fract_x
_atom_site_fract_y
_atom_site_fract_z
Eu1 0.250 0.250 0.175
Cl1 0.250 0.250 0.633
O1 0.250 0.750 0.000



| no. | V (A^3/atom) | total magnetic moment (μB/f.u.) | DFT total energy (eV/atom) |
| --- | --- | --- | --- |
| 1 | 23.248 | 0.0 | -6.746 |
| 2 | 20.711 | 1.0 | -3.999 |
| 3 | 15.075 | 0.0 | -9.007 |
| 4 | 18.420 | 6.0 | -8.148 |